[1]
## NaSr2VF8 (PBE with a Hubbard U)

Data for NaSr2VF8 after structural relaxation.

CIF file:
```
data_NaSr2VF8
_symmetry_space_group_name_H-M 'P 1'
_symmetry_Int_Tables_number 1
_cell_length_a 5.0937
_cell_length_b 5.3059
_cell_length_c 7.5066
_cell_angle_alpha 90.23
_cell_angle_beta 90.16
_cell_angle_gamma 91.91
loop_
_symmetry_equiv_pos_as_xyz
'x,y,z'
loop_
_atom_site_label
_atom_site_fract_x
_atom_site_fract_y
_atom_site_fract_z
Na1 0.0000 0.0000 0.0000
Sr1 0.5002 0.5002 0.2507
Sr2 0.4998 0.4998 0.7493
V1 0.0000 0.0000 0.5000
F1 0.1767 0.8207 0.3035
F2 0.1784 0.8220 0.6962
F3 0.2815 0.2714 0.4992
F4 0.2991 0.3013 0.9993
F5 0.7009 0.6987 0.0007
F6 0.7185 0.7286 0.5008
F7 0.8216 0.1780 0.3038
F8 0.8233 0.1793 0.6965
```

Calculated values
VASP energy: -5.63 eV per atom
V: 203 Å³/cell
Total magnetization: 0.167 μB/atom
Space group: P-1 (2)

***

[2]
## CrIrNO2 (PBE with a Hubbard U)

Data for CrIrNO2 after structural relaxation.

CIF file:
```
data_CrIrNO2
_symmetry_space_group_name_H-M 'P 1'
_symmetry_Int_Tables_number 1
_cell_length_a 4.0335
_cell_length_b 4.0335
_cell_length_c 3.7168
_cell_angle_alpha 90.00
_cell_angle_beta 90.00
_cell_angle_gamma 90.00
loop_
_symmetry_equiv_pos_as_xyz
'x,y,z'
loop_
_atom_site_label
_atom_site_fract_x
_atom_site_fract_y
_atom_site_fract_z
Cr1 0.0000 0.0000 0.0000
Ir1 0.5000 0.5000 0.5000
N1 0.5000 0.5000 0.0000
O1 0.0000 0.5000 0.5000
O2 0.5000 0.0000 0.5000
```

Calculated values
VASP energy: -6.80 eV per atom
V: 60 Å³/cell
Total magnetization: 0.751 μB/atom
Space group: P4/mmm (123)

***

Among the records above, which one has the highest total magnetization?
CrIrNO2